A plane-wave DFT calculation with PBE+U was carried out for a relaxed Co6O7F5 crystal. Values from VASP.

Structure (Quantum ESPRESSO input):
```
&SYSTEM
  ibrav = 0, nat = 18, ntyp = 3
/
ATOMIC_SPECIES
Co 58.93 Co.upf
O 16.00 O.upf
F 19.00 F.upf
CELL_PARAMETERS angstrom
4.471 -3.095 0.000
4.471 3.095 0.000
-2.947 0.000 6.643
ATOMIC_POSITIONS crystal
Co 0.000 0.000 0.000
Co 0.287 0.345 0.847
Co 0.309 0.365 0.322
Co 0.635 0.691 0.678
Co 0.655 0.713 0.153
Co 0.970 0.030 0.500
O 0.003 0.679 0.328
O 0.207 0.246 0.039
O 0.293 0.707 0.000
O 0.321 0.997 0.672
O 0.617 0.061 0.330
O 0.754 0.793 0.961
O 0.939 0.383 0.670
F 0.072 0.137 0.303
F 0.397 0.450 0.626
F 0.550 0.603 0.374
F 0.681 0.319 0.000
F 0.863 0.928 0.697
```

Properties
SG: C2 (5)
Crystal system: monoclinic
Energy above the lowest structure with this stoichiometry (meV per atom): 30
DOS at the Fermi energy (states/eV/f.u.): 3.52
Final energy (eV/cell): -96.08